1.
VASP calculation (PBE) on a geometry-optimized B2Mo2Os structure.

Computed properties:
As for the polymorph energy (0 for the lowest one): 0.0000 eV/atom. The calculation puts the formation energy at -1.8 eV/f.u. As for the total moment: 0.00 μB per cell.

abc: 7.610 9.645 3.082
angles: 90.00 90.00 90.00
Fractional coordinates of all 20 atoms:
B (0.113, 0.040, 0.000)
B (0.121, 0.233, 0.000)
B (0.379, 0.733, 0.500)
B (0.387, 0.540, 0.500)
B (0.613, 0.460, 0.500)
B (0.621, 0.267, 0.500)
B (0.879, 0.767, 0.000)
B (0.887, 0.960, 0.000)
Mo (0.078, 0.861, 0.500)
Mo (0.195, 0.630, 0.000)
Mo (0.305, 0.130, 0.500)
Mo (0.422, 0.361, 0.000)
Mo (0.578, 0.639, 0.000)
Mo (0.695, 0.870, 0.500)
Mo (0.805, 0.370, 0.000)
Mo (0.922, 0.139, 0.500)
Os (0.117, 0.392, 0.500)
Os (0.383, 0.892, 0.000)
Os (0.617, 0.108, 0.000)
Os (0.883, 0.608, 0.500)


2.
VASP calculation (PBE) on a geometry-optimized Li2DyTlI6 structure.

Computed properties:
As for the total moment: 0.00 μB per cell. Its uncorrected formation energy is -1137 meV/atom.

abc: 8.516 8.516 8.516
angles: 54.85 54.85 54.85
Fractional coordinates of all 10 atoms:
Li (0.000, 0.000, 0.000)
Li (0.494, 0.494, 0.494)
Dy (0.679, 0.679, 0.679)
Tl (0.193, 0.193, 0.193)
I (0.089, 0.414, 0.744)
I (0.263, 0.852, 0.651)
I (0.414, 0.744, 0.089)
I (0.651, 0.263, 0.852)
I (0.744, 0.089, 0.414)
I (0.852, 0.651, 0.263)


3.
VASP calculation (PBE) on a geometry-optimized CaCu2Au structure.

Computed properties:
As for the polymorph energy (0 for the lowest one): 0.1292 eV/atom. The calculation puts the formation energy at -0.6 eV/f.u. As for the total moment: 0.00 μB per cell.

abc: 4.976 4.976 4.976
angles: 129.42 129.42 74.33
Fractional coordinates of all 4 atoms:
Ca (0.000, 0.000, 0.000)
Cu (0.250, 0.750, 0.500)
Cu (0.500, 0.500, 0.000)
Au (0.750, 0.250, 0.500)


4.
VASP calculation (PBE) on a geometry-optimized LiPrPtAu structure.

Computed properties:
As for the polymorph energy (0 for the lowest one): 0.0000 eV/atom. The calculation puts the formation energy at -3.1 eV/f.u. As for the total moment: 0.00 μB per cell.

abc: 5.555 5.555 5.555
angles: 47.23 47.23 47.23
Fractional coordinates of all 4 atoms:
Li (0.000, 0.000, 0.000)
Pr (0.491, 0.491, 0.491)
Pt (0.710, 0.710, 0.710)
Au (0.280, 0.280, 0.280)


5.
VASP calculation (PBE) on a geometry-optimized CdFeTe2 structure.

Computed properties:
As for the total moment: 1.93 μB per cell. Its uncorrected formation energy is 53 meV/atom.

abc: 7.185 7.185 7.185
angles: 153.41 141.82 47.13
Fractional coordinates of all 4 atoms:
Cd (0.000, 0.000, 0.000)
Fe (0.500, 0.500, 0.000)
Te (0.348, 0.848, 0.500)
Te (0.652, 0.152, 0.500)


6.
VASP calculation (PBE) on a geometry-optimized Mn3As structure.

Computed properties:
The calculation puts the formation energy at 0.4 eV/f.u. As for the total moment: 3.94 μB per cell.

abc: 4.382 4.382 4.238
angles: 101.81 101.81 37.13
Fractional coordinates of all 4 atoms:
Mn (0.000, 0.000, 0.000)
Mn (0.249, 0.249, 0.759)
Mn (0.751, 0.751, 0.241)
As (0.500, 0.500, 0.500)


7.
VASP calculation (PBE) on a geometry-optimized TlGe2Pb structure.

Computed properties:
As for the polymorph energy (0 for the lowest one): 0.0461 eV/atom. The calculation puts the formation energy at 1.4 eV/f.u. As for the total moment: 0.00 μB per cell.

abc: 7.752 7.752 7.752
angles: 130.75 130.75 72.21
Fractional coordinates of all 8 atoms:
Tl (0.000, 0.000, 0.000)
Tl (0.750, 0.250, 0.500)
Ge (0.122, 0.625, 0.997)
Ge (0.375, 0.372, 0.497)
Ge (0.628, 0.125, 0.003)
Ge (0.875, 0.878, 0.503)
Pb (0.250, 0.750, 0.500)
Pb (0.500, 0.500, 0.000)


8.
VASP calculation (PBE) on a geometry-optimized InRhSe2 structure.

Computed properties:
As for the total moment: 0.00 μB per cell. Its uncorrected formation energy is 305 meV/atom.

abc: 4.774 4.774 4.774
angles: 60.00 60.00 60.00
Fractional coordinates of all 4 atoms:
In (0.000, 0.000, 0.000)
Rh (0.250, 0.250, 0.250)
Se (0.500, 0.500, 0.500)
Se (0.750, 0.750, 0.750)


9.
VASP calculation (PBE) on a geometry-optimized PuMgPd4 structure.

Computed properties:
As for the polymorph energy (0 for the lowest one): 0.0962 eV/atom. The calculation puts the formation energy at -2.3 eV/f.u. As for the total moment: 10.19 μB per cell.

abc: 8.763 8.763 4.394
angles: 90.03 90.03 139.18
Fractional coordinates of all 12 atoms:
Pu (0.116, 0.884, 0.750)
Pu (0.884, 0.116, 0.250)
Mg (0.361, 0.639, 0.250)
Mg (0.639, 0.361, 0.750)
Pd (0.057, 0.468, 0.750)
Pd (0.230, 0.319, 0.750)
Pd (0.319, 0.230, 0.250)
Pd (0.468, 0.057, 0.250)
Pd (0.532, 0.943, 0.750)
Pd (0.681, 0.770, 0.750)
Pd (0.770, 0.681, 0.250)
Pd (0.943, 0.532, 0.250)


10.
VASP calculation (PBE) on a geometry-optimized SrHg2RhPb structure.

Computed properties:
The calculation puts the formation energy at -0.9 eV/f.u. As for the total moment: 0.00 μB per cell.

abc: 5.307 5.307 5.186
angles: 90.00 90.00 90.00
Fractional coordinates of all 5 atoms:
Sr (0.000, 0.000, 0.000)
Hg (0.000, 0.500, 0.500)
Hg (0.500, 0.000, 0.500)
Rh (0.500, 0.500, 0.500)
Pb (0.500, 0.500, 0.000)


11.
VASP calculation (PBE) on a geometry-optimized Mg2SnH structure.

Computed properties:
As for the polymorph energy (0 for the lowest one): 0.0253 eV/atom. As for the total moment: 0.00 μB per cell.

abc: 7.563 7.563 7.563
angles: 25.89 25.89 25.89
Fractional coordinates of all 4 atoms:
Mg (0.000, 0.000, 0.000)
Mg (0.218, 0.218, 0.218)
Sn (0.442, 0.442, 0.442)
H (0.628, 0.628, 0.628)


12.
VASP calculation (PBE) on a geometry-optimized SrPbO3 structure.

Computed properties:
As for the total moment: 0.00 μB per cell. Its uncorrected formation energy is -1641 meV/atom.

abc: 3.619 5.706 7.174
angles: 90.00 90.00 90.00
Fractional coordinates of all 10 atoms:
Sr (0.250, 0.250, 0.128)
Sr (0.750, 0.750, 0.872)
Pb (0.250, 0.750, 0.396)
Pb (0.750, 0.250, 0.604)
O (0.250, 0.512, 0.648)
O (0.250, 0.750, 0.096)
O (0.250, 0.988, 0.648)
O (0.750, 0.012, 0.352)
O (0.750, 0.250, 0.904)
O (0.750, 0.488, 0.352)


13.
VASP calculation (PBE) on a geometry-optimized PmNdGaCu structure.

Computed properties:
As for the polymorph energy (0 for the lowest one): 0.0042 eV/atom. The calculation puts the formation energy at -1.4 eV/f.u. As for the total moment: 0.00 μB per cell.

abc: 5.155 5.155 5.155
angles: 60.00 60.00 60.00
Fractional coordinates of all 4 atoms:
Pm (0.000, 0.000, 0.000)
Nd (0.500, 0.500, 0.500)
Ga (0.750, 0.750, 0.750)
Cu (0.250, 0.250, 0.250)


14.
VASP calculation (PBE) on a geometry-optimized TbYHoSc2 structure.

Computed properties:
The calculation puts the formation energy at 1.2 eV/f.u. As for the total moment: 0.00 μB per cell.

abc: 8.029 8.029 11.324
angles: 90.00 90.00 155.10
Fractional coordinates of all 10 atoms:
Tb (0.000, 0.000, 0.000)
Tb (0.000, 0.000, 0.500)
Y (0.173, 0.827, 0.750)
Y (0.827, 0.173, 0.250)
Ho (0.118, 0.882, 0.250)
Ho (0.882, 0.118, 0.750)
Sc (0.325, 0.675, 0.524)
Sc (0.325, 0.675, 0.976)
Sc (0.675, 0.325, 0.024)
Sc (0.675, 0.325, 0.476)


15.
VASP calculation (PBE) on a geometry-optimized Nb3BiOs structure.

Computed properties:
As for the polymorph energy (0 for the lowest one): 0.0000 eV/atom. The calculation puts the formation energy at 4.2 eV/f.u. As for the total moment: 0.00 μB per cell.

abc: 4.916 4.916 4.916
angles: 90.00 90.00 90.00
Fractional coordinates of all 5 atoms:
Nb (0.000, 0.000, 0.500)
Nb (0.000, 0.500, 0.000)
Nb (0.500, 0.000, 0.000)
Bi (0.500, 0.500, 0.500)
Os (0.000, 0.000, 0.000)


16.
VASP calculation (PBE) on a geometry-optimized TcAg2Sb structure.

Computed properties:
As for the total moment: 0.00 μB per cell. Its uncorrected formation energy is 335 meV/atom.

abc: 5.161 5.161 5.231
angles: 112.49 112.49 35.66
Fractional coordinates of all 4 atoms:
Tc (0.000, 0.000, 0.000)
Ag (0.494, 0.494, 0.532)
Ag (0.739, 0.739, 0.421)
Sb (0.273, 0.273, 0.958)


17.
VASP calculation (PBE) on a geometry-optimized PmHo5N6 structure.

Computed properties:
As for the total moment: 0.00 μB per cell. Its uncorrected formation energy is -1682 meV/atom.

abc: 6.026 6.026 6.024
angles: 99.59 99.59 120.01
Fractional coordinates of all 12 atoms:
Pm (0.000, 0.000, 0.000)
Ho (0.168, 0.832, 0.500)
Ho (0.333, 0.667, 0.000)
Ho (0.500, 0.500, 0.500)
Ho (0.667, 0.333, 0.000)
Ho (0.832, 0.168, 0.500)
N (0.084, 0.424, 0.253)
N (0.255, 0.255, 0.747)
N (0.424, 0.084, 0.253)
N (0.576, 0.916, 0.747)
N (0.745, 0.745, 0.253)
N (0.916, 0.576, 0.747)


18.
VASP calculation (PBE) on a geometry-optimized BaTa2CdAu structure.

Computed properties:
The calculation puts the formation energy at 6.4 eV/f.u. As for the total moment: 0.58 μB per cell.

abc: 5.077 5.077 6.161
angles: 90.00 90.00 90.00
Fractional coordinates of all 5 atoms:
Ba (0.000, 0.000, 0.000)
Ta (0.000, 0.500, 0.500)
Ta (0.500, 0.000, 0.500)
Cd (0.500, 0.500, 0.000)
Au (0.000, 0.000, 0.500)


19.
VASP calculation (PBE) on a geometry-optimized Be2OsRu structure.

Computed properties:
As for the polymorph energy (0 for the lowest one): 0.2686 eV/atom. The calculation puts the formation energy at 0.2 eV/f.u. As for the total moment: 0.00 μB per cell.

abc: 2.625 2.625 7.481
angles: 90.00 90.00 114.52
Fractional coordinates of all 4 atoms:
Be (0.000, 0.000, 0.246)
Be (0.000, 0.000, 0.754)
Os (0.500, 0.500, 0.500)
Ru (0.500, 0.500, 0.000)


20.
VASP calculation (PBE) on a geometry-optimized TlNiP structure.

Computed properties:
As for the polymorph energy (0 for the lowest one): 1.0314 eV/atom. The calculation puts the formation energy at 2.4 eV/f.u. As for the total moment: 0.00 μB per cell.

abc: 4.432 4.432 4.432
angles: 60.00 60.00 60.00
Fractional coordinates of all 3 atoms:
Tl (0.000, 0.000, 0.000)
Ni (0.750, 0.750, 0.750)
P (0.250, 0.250, 0.250)


21.
VASP calculation (PBE) on a geometry-optimized KBa2BiN structure.

Computed properties:
As for the total moment: 0.79 μB per cell. Its uncorrected formation energy is -411 meV/atom.

abc: 5.520 5.520 5.551
angles: 90.00 90.00 90.00
Fractional coordinates of all 5 atoms:
K (0.000, 0.000, 0.000)
Ba (0.000, 0.500, 0.500)
Ba (0.500, 0.000, 0.500)
Bi (0.500, 0.500, 0.000)
N (0.000, 0.000, 0.500)


22.
VASP calculation (PBE) on a geometry-optimized CaRe2Au structure.

Computed properties:
As for the polymorph energy (0 for the lowest one): 0.5507 eV/atom. The calculation puts the formation energy at 2.8 eV/f.u. As for the total moment: 0.00 μB per cell.

abc: 2.658 5.007 5.558
angles: 90.00 90.00 90.00
Fractional coordinates of all 4 atoms:
Ca (0.000, 0.000, 0.000)
Re (0.500, 0.500, 0.221)
Re (0.500, 0.500, 0.779)
Au (0.000, 0.000, 0.500)


23.
VASP calculation (PBE) on a geometry-optimized Ba2CaCdAu structure.

Computed properties:
The calculation puts the formation energy at -1.4 eV/f.u. As for the total moment: 0.00 μB per cell.

abc: 6.352 6.352 5.733
angles: 90.00 90.00 90.00
Fractional coordinates of all 5 atoms:
Ba (0.000, 0.500, 0.000)
Ba (0.500, 0.000, 0.000)
Ca (0.000, 0.000, 0.500)
Cd (0.500, 0.500, 0.500)
Au (0.000, 0.000, 0.000)


24.
VASP calculation (PBE) on a geometry-optimized NbCrCo structure.

Computed properties:
As for the polymorph energy (0 for the lowest one): 0.2596 eV/atom. The calculation puts the formation energy at 0.4 eV/f.u. As for the total moment: 5.20 μB per cell.

abc: 5.068 5.068 4.237
angles: 90.00 90.00 130.67
Fractional coordinates of all 6 atoms:
Nb (0.090, 0.910, 0.750)
Nb (0.910, 0.090, 0.250)
Cr (0.251, 0.749, 0.250)
Cr (0.749, 0.251, 0.750)
Co (0.414, 0.586, 0.750)
Co (0.586, 0.414, 0.250)


25.
VASP calculation (PBE) on a geometry-optimized Pr4Y3Er structure.

Computed properties:
As for the polymorph energy (0 for the lowest one): 0.0000 eV/atom. The calculation puts the formation energy at 0.2 eV/f.u. As for the total moment: 0.00 μB per cell.

abc: 11.694 7.379 6.362
angles: 90.00 90.00 90.00
Fractional coordinates of all 16 atoms:
Pr (0.000, 0.127, 0.000)
Pr (0.000, 0.872, 0.506)
Pr (0.247, 0.128, 0.337)
Pr (0.253, 0.872, 0.837)
Pr (0.500, 0.128, 0.006)
Pr (0.500, 0.873, 0.500)
Pr (0.747, 0.872, 0.837)
Pr (0.753, 0.128, 0.337)
Y (0.000, 0.622, 0.003)
Y (0.250, 0.379, 0.836)
Y (0.250, 0.621, 0.336)
Y (0.500, 0.378, 0.503)
Y (0.750, 0.379, 0.836)
Y (0.750, 0.621, 0.336)
Er (0.000, 0.380, 0.501)
Er (0.500, 0.620, 0.001)